[1]
AcMgHgPd: relaxed, PBE-GGA.

- Crystal system: cubic
- DOS(E_F): 11.18 states/eV per cell
- Total moment: 0.000 μB/atom
- Calculated formation energy: -0.48 eV per atom

Unit cell a=7.402 b=7.402 c=7.402 alpha=90.00 beta=90.00 gamma=90.00
Space group F-43m (No. 216)
Inequivalent atoms, fractional coordinates:
Ac1 0.000 0.000 0.000 [4 per cell]
Mg1 0.000 0.000 0.500 [4 per cell]
Hg1 0.250 0.250 0.250 [4 per cell]
Pd1 0.250 0.250 0.750 [4 per cell]


[2]
AcPmMgHg: relaxed, PBE-GGA.

- Crystal system: tetragonal
- DOS(E_F): 5.07 states/eV per cell
- Total moment: 0.000 μB/atom
- Calculated formation energy: -0.27 eV per atom

Unit cell a=3.956 b=3.956 c=7.917 alpha=90.00 beta=90.00 gamma=90.00
Space group P4mm (No. 99)
Inequivalent atoms, fractional coordinates:
Ac1 0.000 0.000 0.000 [1 per cell]
Pm1 0.000 0.000 0.493 [1 per cell]
Mg1 0.500 0.500 0.724 [1 per cell]
Hg1 0.500 0.500 0.281 [1 per cell]


[3]
AcPmMgHg: relaxed, PBE-GGA.

- Crystal system: cubic
- DOS(E_F): 19.97 states/eV per cell
- Total moment: 0.000 μB/atom
- Calculated formation energy: -0.23 eV per atom

Unit cell a=7.916 b=7.916 c=7.916 alpha=90.00 beta=90.00 gamma=90.00
Space group F-43m (No. 216)
Inequivalent atoms, fractional coordinates:
Ac1 0.000 0.000 0.000 [4 per cell]
Pm1 0.000 0.000 0.500 [4 per cell]
Mg1 0.250 0.250 0.250 [4 per cell]
Hg1 0.250 0.250 0.750 [4 per cell]


[4]
AcPm2MgHg4: relaxed, PBE-GGA.

- Crystal system: trigonal
- DOS(E_F): 19.23 states/eV per cell
- Total moment: 0.000 μB/atom
- Calculated formation energy: -0.43 eV per atom

Unit cell a=5.2296 b=5.2296 c=28.5103 alpha=90.00 beta=90.00 gamma=120.00
Space group R-3m (No. 166, hexagonal axes)
Inequivalent atoms, fractional coordinates:
Ac1 0.0000 0.0000 0.0000 [3 per cell]
Pm1 0.0000 0.0000 0.2379 [6 per cell]
Mg1 0.0000 0.0000 0.5000 [3 per cell]
Hg1 0.0000 0.0000 0.1273 [6 per cell]
Hg2 0.0000 0.0000 0.3865 [6 per cell]


The lowest DOS(E_F) belongs to which entry? number 2